A:
Computed, not measured: a relaxed Ce5GaHg2 crystal at the PBE-GGA level of DFT.

Summary:
Its mass density is 9.3 g/cm3.

The structure in CIF format:
```
data_Ce5GaHg2
_cell_length_a 5.506
_cell_length_b 11.365
_cell_length_c 13.365
_cell_angle_alpha 90.00
_cell_angle_beta 90.00
_cell_angle_gamma 90.00
_symmetry_space_group_name_H-M 'C m c m'
_symmetry_Int_Tables_number 63
_symmetry_space_group_name_Hall '-C 2c 2'
loop_
_atom_site_label
_atom_site_type_symbol
_atom_site_fract_x
_atom_site_fract_y
_atom_site_fract_z
Ce1 Ce 0.000 0.024 0.250
Ce2 Ce 0.000 0.101 0.548
Ce3 Ce 0.000 0.422 0.579
Ga1 Ga 0.000 0.250 0.750
Hg1 Hg 0.000 0.292 0.139
```

B:
Computed, not measured: a relaxed Ce5GaHg2 crystal at the PBE-GGA level of DFT.

Summary:
Its mass density is 9.5 g/cm3.

The structure in CIF format:
```
data_Ce5GaHg2
_cell_length_a 4.671
_cell_length_b 4.671
_cell_length_c 18.691
_cell_angle_alpha 90.00
_cell_angle_beta 90.00
_cell_angle_gamma 90.00
_symmetry_space_group_name_H-M 'I 4/m m m'
_symmetry_Int_Tables_number 139
_symmetry_space_group_name_Hall '-I 4 2'
loop_
_atom_site_label
_atom_site_type_symbol
_atom_site_fract_x
_atom_site_fract_y
_atom_site_fract_z
Ce1 Ce 0.000 0.000 0.000
Ce2 Ce 0.000 0.500 0.122
Ga1 Ga 0.000 0.000 0.500
Hg1 Hg 0.000 0.000 0.249
```

Stability ranking, top and bottom: B is the most stable and A is the least stable.

A:
Computed, not measured: a relaxed Ce4GaHg3 crystal at the PBE-GGA level of DFT.

Summary:
Its mass density is 9.6 g/cm3.

The structure in CIF format:
```
data_Ce4GaHg3
_cell_length_a 3.858
_cell_length_b 3.858
_cell_length_c 14.391
_cell_angle_alpha 90.00
_cell_angle_beta 90.00
_cell_angle_gamma 90.00
_symmetry_space_group_name_H-M 'P 4/m m m'
_symmetry_Int_Tables_number 123
_symmetry_space_group_name_Hall '-P 4 2'
loop_
_atom_site_label
_atom_site_type_symbol
_atom_site_fract_x
_atom_site_fract_y
_atom_site_fract_z
Ce1 Ce 0.000 0.000 0.098
Ce2 Ce 0.000 0.000 0.368
Ga1 Ga 0.500 0.500 0.000
Hg1 Hg 0.500 0.500 0.234
Hg2 Hg 0.500 0.500 0.500
```

B:
Computed, not measured: a relaxed Ce4GaHg3 crystal at the PBE-GGA level of DFT.

Summary:
Its mass density is 10.4 g/cm3.

The structure in CIF format:
```
data_Ce4GaHg3
_cell_length_a 4.234
_cell_length_b 5.266
_cell_length_c 17.709
_cell_angle_alpha 90.00
_cell_angle_beta 90.00
_cell_angle_gamma 90.00
_symmetry_space_group_name_H-M 'I m m m'
_symmetry_Int_Tables_number 71
_symmetry_space_group_name_Hall '-I 2 2'
loop_
_atom_site_label
_atom_site_type_symbol
_atom_site_fract_x
_atom_site_fract_y
_atom_site_fract_z
Ce1 Ce 0.000 0.000 0.124
Ce2 Ce 0.000 0.500 0.270
Ga1 Ga 0.000 0.500 0.500
Hg1 Hg 0.000 0.000 0.375
Hg2 Hg 0.000 0.500 0.000
```

Stability ranking, top and bottom: A is the most stable and B is the least stable.

A:
Computed, not measured: a relaxed CePrGaHg crystal at the PBE-GGA level of DFT.

Summary:
Its mass density is 8.7 g/cm3.

The structure in CIF format:
```
data_CePrGaHg
_cell_length_a 3.530
_cell_length_b 3.530
_cell_length_c 8.427
_cell_angle_alpha 90.00
_cell_angle_beta 90.00
_cell_angle_gamma 90.00
_symmetry_space_group_name_H-M 'P 4 m m'
_symmetry_Int_Tables_number 99
loop_
_symmetry_equiv_pos_as_xyz
'x,y,z'
'-y,x,z'
'-x,-y,z'
'y,-x,z'
'-x,y,z'
'y,x,z'
'x,-y,z'
'-y,-x,z'
loop_
_atom_site_label
_atom_site_type_symbol
_atom_site_fract_x
_atom_site_fract_y
_atom_site_fract_z
Ce1 Ce 0.000 0.000 0.000
Pr1 Pr 0.000 0.000 0.530
Ga1 Ga 0.500 0.500 0.769
Hg1 Hg 0.500 0.500 0.262
```

B:
Computed, not measured: a relaxed CePrGaHg crystal at the PBE-GGA level of DFT.

Summary:
Its mass density is 8.4 g/cm3.

The structure in CIF format:
```
data_CePrGaHg
_cell_length_a 7.570
_cell_length_b 7.570
_cell_length_c 7.570
_cell_angle_alpha 90.00
_cell_angle_beta 90.00
_cell_angle_gamma 90.00
_symmetry_space_group_name_H-M 'F -4 3 m'
_symmetry_Int_Tables_number 216
_symmetry_space_group_name_Hall 'F -4 2 3'
loop_
_atom_site_label
_atom_site_type_symbol
_atom_site_fract_x
_atom_site_fract_y
_atom_site_fract_z
Ce1 Ce 0.000 0.000 0.000
Pr1 Pr 0.000 0.000 0.500
Ga1 Ga 0.250 0.250 0.250
Hg1 Hg 0.250 0.250 0.750
```

Stability ranking, top and bottom: A is the most stable and B is the least stable.

A:
Computed, not measured: a relaxed TbCeGaHg crystal at the PBE-GGA level of DFT.

Summary:
Its mass density is 9.5 g/cm3.

The structure in CIF format:
```
data_TbCeGaHg
_cell_length_a 3.458
_cell_length_b 3.458
_cell_length_c 8.287
_cell_angle_alpha 90.00
_cell_angle_beta 90.00
_cell_angle_gamma 90.00
_symmetry_space_group_name_H-M 'P 4 m m'
_symmetry_Int_Tables_number 99
loop_
_symmetry_equiv_pos_as_xyz
'x,y,z'
'-y,x,z'
'-x,-y,z'
'y,-x,z'
'-x,y,z'
'y,x,z'
'x,-y,z'
'-y,-x,z'
loop_
_atom_site_label
_atom_site_type_symbol
_atom_site_fract_x
_atom_site_fract_y
_atom_site_fract_z
Tb1 Tb 0.000 0.000 0.000
Ce1 Ce 0.000 0.000 0.530
Ga1 Ga 0.500 0.500 0.770
Hg1 Hg 0.500 0.500 0.253
```

B:
Computed, not measured: a relaxed TbCeGaHg crystal at the PBE-GGA level of DFT.

Summary:
Its mass density is 9.2 g/cm3.

The structure in CIF format:
```
data_TbCeGaHg
_cell_length_a 7.433
_cell_length_b 7.433
_cell_length_c 7.433
_cell_angle_alpha 90.00
_cell_angle_beta 90.00
_cell_angle_gamma 90.00
_symmetry_space_group_name_H-M 'F -4 3 m'
_symmetry_Int_Tables_number 216
_symmetry_space_group_name_Hall 'F -4 2 3'
loop_
_atom_site_label
_atom_site_type_symbol
_atom_site_fract_x
_atom_site_fract_y
_atom_site_fract_z
Tb1 Tb 0.000 0.000 0.000
Ce1 Ce 0.000 0.000 0.500
Ga1 Ga 0.250 0.250 0.750
Hg1 Hg 0.250 0.250 0.250
```

Stability ranking, top and bottom: A is the most stable and B is the least stable.